First-principles (PBE-GGA) data for crystalline GaTc2Sb at its relaxed geometry, as listed in the Alexandria database.

a = 4.480 Å, b = 4.480 Å, c = 4.480 Å
α = 60.00°, β = 60.00°, γ = 60.00°
Sites, in units of the cell vectors:
Ga (0.000, 0.000, 0.000)
Tc (0.250, 0.250, 0.250)
Tc (0.750, 0.750, 0.750)
Sb (0.500, 0.500, 0.500)

Output
Fermi-level density of states   4.64 states/eV/cell
Space group   Fm-3m, No. 225
Spin magnetization   0.000 μB/atom
Formation energy from raw total energies   0.054 eV/atom
E above lowest polymorph   0.00 kcal/mol of atoms

First-principles (PBE-GGA) data for crystalline Hf2Zr2Co at its relaxed geometry, as listed in the Alexandria database.

a = 6.573 Å, b = 6.573 Å, c = 4.887 Å
α = 90.00°, β = 90.00°, γ = 90.00°
Sites, in units of the cell vectors:
Hf (0.158, 0.342, 0.000)
Hf (0.342, 0.842, 0.000)
Hf (0.658, 0.158, 0.000)
Hf (0.842, 0.658, 0.000)
Zr (0.156, 0.656, 0.500)
Zr (0.344, 0.156, 0.500)
Zr (0.656, 0.844, 0.500)
Zr (0.844, 0.344, 0.500)
Co (0.000, 0.000, 0.500)
Co (0.500, 0.500, 0.500)

Output
Fermi-level density of states   12.06 states/eV/cell
Space group   P4/mbm, No. 127
DFT formation energy   0.146 eV/atom
Spin magnetization   0.000 μB/atom
E above lowest polymorph   4.34 kcal/mol of atoms

First-principles (PBE-GGA) data for crystalline PaVRu2 at its relaxed geometry, as listed in the Alexandria database.

a = 3.008 Å, b = 3.008 Å, c = 7.252 Å
α = 90.00°, β = 90.00°, γ = 90.00°
Sites, in units of the cell vectors:
Pa (0.000, 0.000, 0.000)
V (0.000, 0.000, 0.500)
Ru (0.500, 0.500, 0.298)
Ru (0.500, 0.500, 0.702)

Output
Fermi-level density of states   2.96 states/eV/cell
Space group   P4/mmm, No. 123
DFT formation energy   -0.342 eV/atom
Spin magnetization   0.000 μB/atom
E above lowest polymorph   0.00 kcal/mol of atoms